# 1
# YFeOs (PBE, relaxed)
data_YFeOs
_symmetry_space_group_name_H-M 'F -4 3 m'
_symmetry_Int_Tables_number 216
_symmetry_space_group_name_Hall 'F -4 2 3'
_cell_length_a 6.1305
_cell_length_b 6.1305
_cell_length_c 6.1305
_cell_angle_alpha 90.00
_cell_angle_beta 90.00
_cell_angle_gamma 90.00
loop_
_atom_site_label
_atom_site_type_symbol
_atom_site_fract_x
_atom_site_fract_y
_atom_site_fract_z
Y1 Y 0.0000 0.0000 0.0000
Fe1 Fe 0.2500 0.2500 0.2500
Os1 Os 0.0000 0.0000 0.5000
# Offset from the most stable computed form: 2.106 eV/f.u.
# Energy relative to the elements: 1.43 eV per formula unit
# Raw total energy: -0.303 hartree per atom

---

# 2
# PmPa2P4 (PBE, relaxed)
data_PmPa2P4
_symmetry_space_group_name_H-M 'C m c m'
_symmetry_Int_Tables_number 63
_symmetry_space_group_name_Hall '-C 2c 2'
_cell_length_a 3.9920
_cell_length_b 13.3252
_cell_length_c 12.7637
_cell_angle_alpha 90.00
_cell_angle_beta 90.00
_cell_angle_gamma 90.00
loop_
_atom_site_label
_atom_site_type_symbol
_atom_site_fract_x
_atom_site_fract_y
_atom_site_fract_z
Pm1 Pm 0.0000 0.1140 0.2500
Pa1 Pa 0.0000 0.3696 0.0644
P1 P 0.0000 0.0000 0.0000
P2 P 0.0000 0.2650 0.6225
P3 P 0.0000 0.4609 0.2500
# Energy relative to the elements: -7.56 eV per formula unit
# Raw total energy: -0.278 hartree per atom

---

# 3
# ZrTcGeAs2 (PBE, relaxed)
data_ZrTcGeAs2
_symmetry_space_group_name_H-M 'P 4/m m m'
_symmetry_Int_Tables_number 123
_symmetry_space_group_name_Hall '-P 4 2'
_cell_length_a 4.8408
_cell_length_b 4.8408
_cell_length_c 4.7039
_cell_angle_alpha 90.00
_cell_angle_beta 90.00
_cell_angle_gamma 90.00
loop_
_atom_site_label
_atom_site_type_symbol
_atom_site_fract_x
_atom_site_fract_y
_atom_site_fract_z
Zr1 Zr 0.0000 0.0000 0.0000
Tc1 Tc 0.5000 0.5000 0.5000
Ge1 Ge 0.5000 0.5000 0.0000
As1 As 0.0000 0.5000 0.5000
# Energy relative to the elements: 2.53 eV per formula unit
# Raw total energy: -0.223 hartree per atom

---

# 4
# Li2Co (PBE, relaxed)
data_Li2Co
_symmetry_space_group_name_H-M 'P 4/m m m'
_symmetry_Int_Tables_number 123
_symmetry_space_group_name_Hall '-P 4 2'
_cell_length_a 4.5695
_cell_length_b 4.5695
_cell_length_c 2.3945
_cell_angle_alpha 90.00
_cell_angle_beta 90.00
_cell_angle_gamma 90.00
loop_
_atom_site_label
_atom_site_type_symbol
_atom_site_fract_x
_atom_site_fract_y
_atom_site_fract_z
Li1 Li 0.0000 0.5000 0.0000
Co1 Co 0.0000 0.0000 0.5000
# Energy relative to the elements: 1.22 eV per formula unit
# Raw total energy: -0.119 hartree per atom

---

# 5
# La3Ho6Mg (PBE, relaxed)
data_La3Ho6Mg
_symmetry_space_group_name_H-M 'C m c 21'
_symmetry_Int_Tables_number 36
_symmetry_space_group_name_Hall 'C 2c -2'
_cell_length_a 13.2291
_cell_length_b 15.6993
_cell_length_c 6.3534
_cell_angle_alpha 90.00
_cell_angle_beta 90.00
_cell_angle_gamma 90.00
loop_
_atom_site_label
_atom_site_type_symbol
_atom_site_fract_x
_atom_site_fract_y
_atom_site_fract_z
La1 La 0.0000 0.1427 0.0000
La2 La 0.2004 0.4126 0.3546
Ho1 Ho 0.0000 0.2501 0.5080
Ho2 Ho 0.0000 0.4497 0.6726
Ho3 Ho 0.1191 0.0572 0.4994
Ho4 Ho 0.2081 0.3004 0.8204
Mg1 Mg 0.0000 0.3483 0.0792
# Energy relative to the elements: 1.37 eV per formula unit
# Raw total energy: -0.156 hartree per atom

---

# 6
# Ce3Y2PaAs6 (PBE, relaxed)
data_Ce3Y2PaAs6
_symmetry_space_group_name_H-M 'C 1 2/m 1'
_symmetry_Int_Tables_number 12
_symmetry_space_group_name_Hall '-C 2y'
_cell_length_a 7.2047
_cell_length_b 12.4789
_cell_length_c 7.2376
_cell_angle_alpha 90.00
_cell_angle_beta 109.35
_cell_angle_gamma 90.00
loop_
_atom_site_label
_atom_site_type_symbol
_atom_site_fract_x
_atom_site_fract_y
_atom_site_fract_z
Ce1 Ce 0.0000 0.0000 0.0000
Ce2 Ce 0.0000 0.3320 0.0000
Y1 Y 0.0000 0.1663 0.5000
Pa1 Pa 0.0000 0.5000 0.5000
As1 As 0.2451 0.3355 0.7422
As2 As 0.2478 0.5000 0.2576
# Energy relative to the elements: -16.93 eV per formula unit
# Raw total energy: -0.260 hartree per atom